# MnBeFeMo

Crystalline MnBeFeMo at its relaxed geometry (PBE-GGA, Alexandria).

Lattice parameters (Å, degrees): 4.016 4.016 4.016 60.00 60.00 60.00
Positions (direct):
Mn  0.000  0.000  0.000
Be  0.250  0.250  0.250
Fe  0.500  0.500  0.500
Mo  0.750  0.750  0.750

Computed properties:
For the mass density, the calculation gives 7.82 Mg/m³. For the energy of formation from the pure elements, the calculation gives -0.004 eV per atom.